1.
A relaxed Hg3Cl crystal. Source: the Alexandria database, functional PBE-GGA.

Properties
Its total energy is -0.0569 Ry per atom. The calculation puts the total moment at 0.000 μB per atom. The value obtained for the density of states at the Fermi level is 0.854 states/eV per atom. The mass density is 9.87 g cm⁻³.

Lattice parameters (Å, degrees): 5.985 5.985 5.985 90.00 90.00 90.00
Space group Pm-3n (No. 223)
One atom of each set of equivalent atoms:
1 Hg 0.000 0.250 0.500 x6
2 Cl 0.000 0.000 0.000 x2


2.
A relaxed HgCl crystal. Source: the Alexandria database, functional PBE-GGA.

Properties
Its total energy is -0.1049 Ry per atom. The calculation puts the total moment at 0.000 μB per atom. The value obtained for the density of states at the Fermi level is 0.052 states/eV per atom. The mass density is 6.65 g cm⁻³.

Lattice parameters (Å, degrees): 11.119 3.706 6.889 90.00 123.89 90.00
Space group C2/m (No. 12)
One atom of each set of equivalent atoms:
1 Hg 0.133 0.000 0.385 x4
2 Cl 0.073 0.500 0.814 x4


3.
A relaxed HgCl crystal. Source: the Alexandria database, functional PBE-GGA.

Properties
Its total energy is -0.0907 Ry per atom. The calculation puts the total moment at 0.000 μB per atom. The value obtained for the density of states at the Fermi level is 0.925 states/eV per atom. The mass density is 5.43 g cm⁻³.

Lattice parameters (Å, degrees): 6.610 6.610 6.610 90.00 90.00 90.00
Space group F-43m (No. 216)
One atom of each set of equivalent atoms:
1 Hg 0.000 0.000 0.000 x4
2 Cl 0.250 0.250 0.250 x4